Entry from Alexandria: a relaxed Hf4ZnRu5 crystal (PBE).

**Space group**: P4/mmm (123)
**Crystal system**: tetragonal
**Total energy**: -94.16 eV per cell
**Volume**: 16.44 A^3/atom
**Energy relative to the elements**: -0.6691 eV/atom

Cell: 3.230 3.230 15.758 Å, 90.00 90.00 90.00°
Fractional coordinates of all 10 atoms:
Hf  0.000  0.000  0.187
Hf  0.000  0.000  0.396
Hf  0.000  0.000  0.604
Hf  0.000  0.000  0.813
Zn  0.000  0.000  0.000
Ru  0.500  0.500  0.091
Ru  0.500  0.500  0.295
Ru  0.500  0.500  0.500
Ru  0.500  0.500  0.705
Ru  0.500  0.500  0.909